Compound: Ba2TmCl7
Source: the Alexandria database
Functional: GGA-PBE
Structure: optimized geometry

Lattice parameters (Å, degrees): 15.608 6.957 10.628 89.43 90.00 90.00
Element x y z (fractional)
1 Ba 0.281 0.232 0.547
2 Ba 0.719 0.768 0.453
3 Ba 0.781 0.768 0.953
4 Ba 0.219 0.232 0.047
5 Ba 0.440 0.767 0.824
6 Ba 0.560 0.233 0.176
7 Ba 0.940 0.233 0.676
8 Ba 0.060 0.767 0.324
9 Tm 0.127 0.721 0.780
10 Tm 0.873 0.279 0.220
11 Tm 0.627 0.279 0.720
12 Tm 0.373 0.721 0.280
13 Cl 0.070 0.384 0.876
14 Cl 0.930 0.616 0.124
15 Cl 0.570 0.616 0.624
16 Cl 0.430 0.384 0.376
17 Cl 0.106 0.986 0.585
18 Cl 0.894 0.014 0.415
19 Cl 0.606 0.014 0.915
20 Cl 0.394 0.986 0.085
21 Cl 0.962 0.801 0.786
22 Cl 0.038 0.199 0.214
23 Cl 0.462 0.199 0.714
24 Cl 0.538 0.801 0.286
25 Cl 0.364 0.804 0.522
26 Cl 0.636 0.196 0.478
27 Cl 0.864 0.196 0.978
28 Cl 0.136 0.804 0.022
29 Cl 0.258 0.987 0.799
30 Cl 0.742 0.013 0.201
31 Cl 0.758 0.013 0.701
32 Cl 0.242 0.987 0.299
33 Cl 0.272 0.505 0.792
34 Cl 0.728 0.495 0.208
35 Cl 0.772 0.495 0.708
36 Cl 0.228 0.505 0.292
37 Cl 0.105 0.504 0.573
38 Cl 0.895 0.496 0.427
39 Cl 0.605 0.496 0.927
40 Cl 0.395 0.504 0.073

Final energy   -4.558 eV per atom
Mass density   3.982 g/cm³
SG   P2_1/c (14)